No. 1
The following is a PBE calculation of a geometry-optimized TaSnPO2 structure, from Alexandria via LeMat-Bulk.

Cell: 3.9896 3.9896 5.1780 Å, 90.00 90.00 90.00°
Closest atoms and distances in Å follow each position.
Space group P4/mmm (No. 123)
Asymmetric unit:
Ta 0.0000 0.0000 0.0000 x1  4 O 1.99
Sn 0.5000 0.5000 0.5000 x1  4 P 2.82
P 0.0000 0.0000 0.5000 x1  2 Ta 2.59, 4 Sn 2.82
O 0.0000 0.5000 0.0000 x2  2 Ta 1.99

* E above lowest polymorph: 0.0 meV per atom

No. 2
The following is a PBE calculation of a geometry-optimized TaSnPO2 structure, from Alexandria via LeMat-Bulk.

Cell: 3.8706 3.8706 5.5670 Å, 90.00 90.00 90.00°
Closest atoms and distances in Å follow each position.
Space group P4/mmm (No. 123)
Asymmetric unit:
Ta 0.0000 0.0000 0.0000 x1  4 P 2.74
Sn 0.5000 0.5000 0.5000 x1  4 O 1.94
P 0.5000 0.5000 0.0000 x1  4 Ta 2.74, 2 Sn 2.78
O 0.0000 0.5000 0.5000 x2  2 Sn 1.94

* E above lowest polymorph: 1364.1 meV per atom

No. 3
The following is a PBE calculation of a geometry-optimized TcSn2PO structure, from Alexandria via LeMat-Bulk.

Cell: 5.3240 5.3240 3.3081 Å, 90.00 90.00 90.00°
Closest atoms and distances in Å follow each position.
Space group P4/mmm (No. 123)
Asymmetric unit:
Tc 0.0000 0.0000 0.0000 x1  8 Sn 3.13, 2 Tc 3.31
Sn 0.0000 0.5000 0.5000 x2  2 P 2.66
P 0.5000 0.5000 0.5000 x1  2 O 1.65
O 0.5000 0.5000 0.0000 x1  2 P 1.65

No. 4
The following is a PBE calculation of a geometry-optimized SnTeP2O structure, from Alexandria via LeMat-Bulk.

Cell: 5.1748 5.1748 3.9242 Å, 90.00 90.00 90.00°
Closest atoms and distances in Å follow each position.
Space group P4/mmm (No. 123)
Asymmetric unit:
Sn 0.0000 0.0000 0.0000 x1  2 O 1.96
Te 0.5000 0.5000 0.5000 x1  8 P 3.25
P 0.0000 0.5000 0.0000 x2  2 Sn 2.59
O 0.0000 0.0000 0.5000 x1  2 Sn 1.96

* E above lowest polymorph: 0.0 meV per atom

No. 5
The following is a PBE calculation of a geometry-optimized SnTeP2O structure, from Alexandria via LeMat-Bulk.

Cell: 5.1740 5.1740 3.9919 Å, 90.00 90.00 90.00°
Closest atoms and distances in Å follow each position.
Space group P4/mmm (No. 123)
Asymmetric unit:
Sn 0.0000 0.0000 0.0000 x1  8 P 3.27, 4 O 3.66
Te 0.5000 0.5000 0.5000 x1  2 O 2.00
P 0.0000 0.5000 0.5000 x2  2 Te 2.59
O 0.5000 0.5000 0.0000 x1  2 Te 2.00

* E above lowest polymorph: 28.4 meV per atom

No. 6
The following is a PBE calculation of a geometry-optimized SnTeP2O structure, from Alexandria via LeMat-Bulk.

Cell: 4.8943 4.8943 6.1922 Å, 90.00 90.00 90.00°
Closest atoms and distances in Å follow each position.
Space group P4/mmm (No. 123)
Asymmetric unit:
Sn 0.0000 0.0000 0.0000 x1  2 Te 3.10, 4 O 3.46
Te 0.0000 0.0000 0.5000 x1  4 P 2.45
P 0.0000 0.5000 0.5000 x2  2 Te 2.45
O 0.5000 0.5000 0.0000 x1  4 Sn 3.46

* E above lowest polymorph: 1142.6 meV per atom

No. 7
The following is a PBE calculation of a geometry-optimized SnTePO2 structure, from Alexandria via LeMat-Bulk.

Cell: 4.0092 4.0092 5.5839 Å, 90.00 90.00 90.00°
Closest atoms and distances in Å follow each position.
Space group P4/mmm (No. 123)
Asymmetric unit:
Sn 0.0000 0.0000 0.0000 x1  4 O 2.00
Te 0.5000 0.5000 0.5000 x1  4 P 2.83
P 0.0000 0.0000 0.5000 x1  2 Sn 2.79, 4 Te 2.83
O 0.0000 0.5000 0.0000 x2  2 Sn 2.00

* E above lowest polymorph: 38.1 meV per atom

No. 8
The following is a PBE calculation of a geometry-optimized SnTePO2 structure, from Alexandria via LeMat-Bulk.

Cell: 4.0969 4.0969 5.3497 Å, 90.00 90.00 90.00°
Closest atoms and distances in Å follow each position.
Space group P4/mmm (No. 123)
Asymmetric unit:
Sn 0.0000 0.0000 0.0000 x1  4 P 2.90
Te 0.5000 0.5000 0.5000 x1  4 O 2.05
P 0.5000 0.5000 0.0000 x1  2 Te 2.67, 4 Sn 2.90
O 0.0000 0.5000 0.5000 x2  2 Te 2.05

* E above lowest polymorph: 0.0 meV per atom

Computed raw formation energy, in the same sequence as the records: -7.11, -0.29, 1.30, 1.56, 1.70, 7.27, -1.26, -1.45 eV per formula unit.
Computed M_tot, in the same sequence as the records: 0.00, 1.76, 2.21, 0.00, 0.00, 0.00, 1.42, 0.00 μB per formula unit.
Computed E, in the same sequence as the records: -7.6575, -6.2934, -5.4873, -4.2725, -4.2441, -3.1300, -4.7471, -4.7851 eV per atom.